[1]
Density functional theory data (GGA-PBE) for an optimized crystal structure of TlSi2Rh2.

Output
* space group: I4/mmm, No. 139
* E_form (uncorrected): -0.46 eV/atom
* energy above the lowest structure with this stoichiometry: 0 meV/atom

Lattice parameters (Å, degrees): 3.6939 3.6939 6.6562 73.89 73.89 90.00
Closest atoms and distances in Å follow each position.
Fractional positions:
1 Tl 0.0000 0.0000 0.0000  8 Rh 3.04
2 Rh 0.6268 0.6268 0.7464  4 Si 2.38
3 Rh 0.3732 0.3732 0.2536  4 Si 2.38
4 Si 0.2500 0.7500 0.5000  4 Rh 2.38, 4 Si 2.61
5 Si 0.7500 0.2500 0.5000  4 Rh 2.38, 4 Si 2.61

***

[2]
Density functional theory data (GGA-PBE) for an optimized crystal structure of NdHoMg.

Output
* space group: P3m1, No. 156
* energy above the lowest structure with this stoichiometry: 88 meV/atom
* energy of formation from the pure elements: 0.1 eV/f.u.

Lattice parameters (Å, degrees): 3.4334 5.4930 5.4930 120.00 90.00 90.00
Closest atoms and distances in Å follow each position.
Fractional positions:
1 Mg 0.3181 0.3333 0.6667  3 Ho 3.30, 3 Nd 3.34, 2 Mg 3.43
2 Nd 0.6248 0.6667 0.3333  3 Mg 3.34, 2 Nd 3.43, 6 Ho 3.50-3.72
3 Ho 0.0571 0.0000 0.0000  3 Mg 3.30, 2 Ho 3.43, 3 Nd 3.50

***

[3]
Density functional theory data (GGA-PBE) for an optimized crystal structure of CuSb2Br.

Output
* space group: Pmmm, No. 47
* E_form (uncorrected): 0.30 eV/atom
* energy above the lowest structure with this stoichiometry: 373 meV/atom

Lattice parameters (Å, degrees): 3.3035 5.8263 4.9672 90.00 90.00 90.00
Closest atoms and distances in Å follow each position.
Fractional positions:
1 Sb 0.0000 0.0000 0.0000  4 Br 2.98, 2 Sb 3.30
2 Sb 0.5000 0.5000 0.0000  4 Cu 2.98, 2 Sb 3.30
3 Br 0.5000 0.0000 0.5000  4 Sb 2.98, 2 Br 3.30
4 Cu 0.0000 0.5000 0.5000  4 Sb 2.98, 2 Cu 3.30

***

[4]
Density functional theory data (GGA-PBE) for an optimized crystal structure of LaTbGdTm.

Output
* space group: F-43m, No. 216
* energy of formation from the pure elements: 0.4 eV/f.u.

Lattice parameters (Å, degrees): 5.7322 5.7322 5.7322 60.00 60.00 60.00
Closest atoms and distances in Å follow each position.
Fractional positions:
1 Gd 0.7500 0.7500 0.7500  4 Tb 3.51, 4 Tm 3.51
2 Tm 0.5000 0.5000 0.5000  4 Gd 3.51, 4 La 3.51
3 Tb 0.0000 0.0000 0.0000  4 Gd 3.51, 4 La 3.51
4 La 0.2500 0.2500 0.2500  4 Tb 3.51, 4 Tm 3.51

***

[5]
Density functional theory data (GGA-PBE) for an optimized crystal structure of MgRhS2.

Output
* space group: I-42d, No. 122
* E_form (uncorrected): -0.60 eV/atom

Lattice parameters (Å, degrees): 5.3503 5.3503 6.9435 67.34 67.34 90.00
Closest atoms and distances in Å follow each position.
Fractional positions:
1 S 0.6529 0.1250 0.2500  2 Rh 2.31, 2 Mg 2.47
2 S 0.0971 0.6250 0.2500  2 Rh 2.31, 2 Mg 2.47
3 S 0.8750 0.9029 0.7500  2 Rh 2.31, 2 Mg 2.47
4 S 0.3750 0.3471 0.7500  2 Rh 2.31, 2 Mg 2.47
5 Mg 0.5000 0.5000 0.0000  4 S 2.47
6 Mg 0.2500 0.7500 0.5000  4 S 2.47
7 Rh 0.7500 0.2500 0.5000  4 S 2.31
8 Rh 0.0000 0.0000 0.0000  4 S 2.31

***

[6]
Density functional theory data (GGA-PBE) for an optimized crystal structure of Sc2TiFeSn.

Output
* space group: P4/mmm, No. 123
* energy of formation from the pure elements: -0.5 eV/f.u.

Lattice parameters (Å, degrees): 4.8562 4.4206 4.8562 90.00 90.00 90.00
Closest atoms and distances in Å follow each position.
Fractional positions:
1 Fe 0.0000 0.0000 0.0000  2 Ti 2.21, 4 Sc 2.43
2 Sn 0.5000 0.5000 0.5000  8 Sc 3.28, 4 Ti 3.43
3 Sc 0.0000 0.0000 0.5000  2 Fe 2.43
4 Sc 0.5000 0.0000 0.0000  2 Fe 2.43
5 Ti 0.0000 0.5000 0.0000  2 Fe 2.21

***

[7]
Density functional theory data (GGA-PBE) for an optimized crystal structure of LiPIO2.

Output
* space group: P4/mmm, No. 123
* E_form (uncorrected): 0.10 eV/atom
* energy above the lowest structure with this stoichiometry: 840 meV/atom

Lattice parameters (Å, degrees): 4.0213 4.0213 5.4890 90.00 90.00 90.00
Closest atoms and distances in Å follow each position.
Fractional positions:
1 O 0.0000 0.5000 0.0000  2 I 2.01
2 O 0.5000 0.0000 0.0000  2 I 2.01
3 Li 0.5000 0.5000 0.5000  4 P 2.84
4 I 0.0000 0.0000 0.0000  4 O 2.01
5 P 0.0000 0.0000 0.5000  2 I 2.74, 4 Li 2.84

***

Number 1: density of states at the Fermi level 1.34 states/eV per cell. Number 2: density of states at the Fermi level 3.94 states/eV per cell. Number 3: density of states at the Fermi level 1.58 states/eV per cell. Number 4: density of states at the Fermi level 7.63 states/eV per cell. Number 5: density of states at the Fermi level 4.35 states/eV per cell. Number 6: density of states at the Fermi level 5.72 states/eV per cell. Number 7: density of states at the Fermi level 2.28 states/eV per cell.